Entry 1:
# La4DyAg, optimized geometry, DFT PBE-GGA
# Fermi-level density of states ... 1.728 states/eV/atom
# Magnetization ... 0.000 μB per atom
# VASP energy ... -4.59 eV per atom
# Mass density ... 7.0 g cm⁻³
# DFT formation energy ... -67 meV per atom
data_La4DyAg
_cell_length_a 3.7669
_cell_length_b 3.7669
_cell_length_c 13.8937
_cell_angle_alpha 90.00
_cell_angle_beta 90.00
_cell_angle_gamma 90.00
_space_group_name_H-M_alt 'P 1'
_space_group_IT_number 1
loop_
_space_group_symop_operation_xyz
'x,y,z'
loop_
_atom_site_label
_atom_site_fract_x
_atom_site_fract_y
_atom_site_fract_z
La1 0.0000 0.0000 0.1402
La2 0.0000 0.0000 0.8598
La3 0.5000 0.5000 0.3234
La4 0.5000 0.5000 0.6766
Dy1 0.0000 0.0000 0.5000
Ag1 0.5000 0.5000 0.0000

Entry 2:
# BeHPd2Pt, optimized geometry, DFT PBE-GGA
# Fermi-level density of states ... 0.770 states/eV/atom
# Magnetization ... 0.000 μB per atom
# VASP energy ... -4.80 eV per atom
# Mass density ... 11.8 g cm⁻³
data_BeHPd2Pt
_cell_length_a 3.8143
_cell_length_b 3.8143
_cell_length_c 4.0319
_cell_angle_alpha 90.00
_cell_angle_beta 90.00
_cell_angle_gamma 90.00
_space_group_name_H-M_alt 'P 1'
_space_group_IT_number 1
loop_
_space_group_symop_operation_xyz
'x,y,z'
loop_
_atom_site_label
_atom_site_fract_x
_atom_site_fract_y
_atom_site_fract_z
Be1 0.0000 0.0000 0.0000
H1 0.0000 0.0000 0.5000
Pd1 0.0000 0.5000 0.5000
Pd2 0.5000 0.0000 0.5000
Pt1 0.5000 0.5000 0.0000

Entry 3:
# YCd3Se, optimized geometry, DFT PBE-GGA
# Fermi-level density of states ... 1.557 states/eV/atom
# Magnetization ... 0.000 μB per atom
# VASP energy ... -1.82 eV per atom
# Mass density ... 4.1 g cm⁻³
data_YCd3Se
_cell_length_a 5.8844
_cell_length_b 5.8844
_cell_length_c 5.8844
_cell_angle_alpha 90.00
_cell_angle_beta 90.00
_cell_angle_gamma 90.00
_space_group_name_H-M_alt 'P 1'
_space_group_IT_number 1
loop_
_space_group_symop_operation_xyz
'x,y,z'
loop_
_atom_site_label
_atom_site_fract_x
_atom_site_fract_y
_atom_site_fract_z
Y1 0.0000 0.0000 0.0000
Cd1 0.0000 0.0000 0.5000
Cd2 0.0000 0.5000 0.0000
Cd3 0.5000 0.0000 0.0000
Se1 0.5000 0.5000 0.5000

Entry 4:
# CaEr4Cd5, optimized geometry, DFT PBE-GGA
# Fermi-level density of states ... 0.782 states/eV/atom
# Magnetization ... 0.000 μB per atom
# VASP energy ... -2.81 eV per atom
# Mass density ... 8.1 g cm⁻³
# DFT formation energy ... -327 meV per atom
data_CaEr4Cd5
_cell_length_a 3.7247
_cell_length_b 3.7247
_cell_length_c 18.7900
_cell_angle_alpha 90.00
_cell_angle_beta 90.00
_cell_angle_gamma 90.00
_space_group_name_H-M_alt 'P 1'
_space_group_IT_number 1
loop_
_space_group_symop_operation_xyz
'x,y,z'
loop_
_atom_site_label
_atom_site_fract_x
_atom_site_fract_y
_atom_site_fract_z
Ca1 0.0000 0.0000 0.0000
Er1 0.0000 0.0000 0.2050
Er2 0.0000 0.0000 0.4017
Er3 0.0000 0.0000 0.5983
Er4 0.0000 0.0000 0.7950
Cd1 0.5000 0.5000 0.1088
Cd2 0.5000 0.5000 0.3032
Cd3 0.5000 0.5000 0.5000
Cd4 0.5000 0.5000 0.6968
Cd5 0.5000 0.5000 0.8912

Entry 5:
# LaTb2HoS4, optimized geometry, DFT PBE-GGA
# Fermi-level density of states ... 0.639 states/eV/atom
# Magnetization ... 0.000 μB per atom
# VASP energy ... -6.44 eV per atom
# Mass density ... 7.0 g cm⁻³
data_LaTb2HoS4
_cell_length_a 6.8813
_cell_length_b 3.9386
_cell_length_c 6.9394
_cell_angle_alpha 90.00
_cell_angle_beta 109.04
_cell_angle_gamma 90.00
_space_group_name_H-M_alt 'P 1'
_space_group_IT_number 1
loop_
_space_group_symop_operation_xyz
'x,y,z'
loop_
_atom_site_label
_atom_site_fract_x
_atom_site_fract_y
_atom_site_fract_z
La1 0.0000 0.0000 0.0000
Tb1 0.5000 0.0000 0.5000
Tb2 0.5000 0.5000 0.0000
Ho1 0.0000 0.5000 0.5000
S1 0.2525 0.0000 0.7413
S2 0.2604 0.5000 0.2636
S3 0.7396 0.5000 0.7364
S4 0.7475 0.0000 0.2587

Entry 6:
# Co4RuRh, optimized geometry, DFT PBE-GGA
# Fermi-level density of states ... 1.012 states/eV/atom
# Magnetization ... 1.635 μB per atom
# VASP energy ... -7.39 eV per atom
# Mass density ... 9.9 g cm⁻³
# DFT formation energy ... 121 meV per atom
data_Co4RuRh
_cell_length_a 4.7073
_cell_length_b 4.7073
_cell_length_c 4.7073
_cell_angle_alpha 60.00
_cell_angle_beta 60.00
_cell_angle_gamma 60.00
_space_group_name_H-M_alt 'P 1'
_space_group_IT_number 1
loop_
_space_group_symop_operation_xyz
'x,y,z'
loop_
_atom_site_label
_atom_site_fract_x
_atom_site_fract_y
_atom_site_fract_z
Co1 0.1250 0.1250 0.1250
Co2 0.1250 0.1250 0.6250
Co3 0.1250 0.6250 0.1250
Co4 0.6250 0.1250 0.1250
Ru1 0.5000 0.5000 0.5000
Rh1 0.7500 0.7500 0.7500

Entry 7:
# Pr3Dy7Er, optimized geometry, DFT PBE-GGA
# Fermi-level density of states ... 1.589 states/eV/atom
# Magnetization ... 0.000 μB per atom
# VASP energy ... -4.52 eV per atom
# Mass density ... 7.8 g cm⁻³
# DFT formation energy ... 124 meV per atom
data_Pr3Dy7Er
_cell_length_a 6.5297
_cell_length_b 6.7204
_cell_length_c 8.6460
_cell_angle_alpha 99.55
_cell_angle_beta 98.33
_cell_angle_gamma 95.41
_space_group_name_H-M_alt 'P 1'
_space_group_IT_number 1
loop_
_space_group_symop_operation_xyz
'x,y,z'
loop_
_atom_site_label
_atom_site_fract_x
_atom_site_fract_y
_atom_site_fract_z
Pr1 0.0000 0.0000 0.0000
Pr2 0.1947 0.5620 0.1661
Pr3 0.8053 0.4380 0.8339
Dy1 0.0124 0.7687 0.5787
Dy2 0.2822 0.2739 0.7868
Dy3 0.4368 0.7906 0.8542
Dy4 0.5000 0.5000 0.5000
Dy5 0.5632 0.2094 0.1458
Dy6 0.7178 0.7261 0.2132
Dy7 0.9876 0.2313 0.4213
Er1 0.5000 0.0000 0.5000

Entry 8:
# RbMg2Tc, optimized geometry, DFT PBE-GGA
# Fermi-level density of states ... 0.845 states/eV/atom
# Magnetization ... 0.533 μB per atom
# VASP energy ... -2.64 eV per atom
# Mass density ... 3.8 g cm⁻³
# DFT formation energy ... 993 meV per atom
data_RbMg2Tc
_cell_length_a 5.2365
_cell_length_b 5.2365
_cell_length_c 5.2365
_cell_angle_alpha 60.00
_cell_angle_beta 60.00
_cell_angle_gamma 60.00
_space_group_name_H-M_alt 'P 1'
_space_group_IT_number 1
loop_
_space_group_symop_operation_xyz
'x,y,z'
loop_
_atom_site_label
_atom_site_fract_x
_atom_site_fract_y
_atom_site_fract_z
Rb1 0.0000 0.0000 0.0000
Mg1 0.2500 0.2500 0.2500
Mg2 0.7500 0.7500 0.7500
Tc1 0.5000 0.5000 0.5000

Entry 9:
# MnAl2Cl8, optimized geometry, DFT PBE-GGA
# Fermi-level density of states ... 0.000 states/eV/atom
# Magnetization ... 0.455 μB per atom
# VASP energy ... -4.27 eV per atom
# Mass density ... 1.8 g cm⁻³
data_MnAl2Cl8
_cell_length_a 9.9448
_cell_length_b 9.9448
_cell_length_c 11.7270
_cell_angle_alpha 123.57
_cell_angle_beta 123.57
_cell_angle_gamma 52.23
_space_group_name_H-M_alt 'P 1'
_space_group_IT_number 1
loop_
_space_group_symop_operation_xyz
'x,y,z'
loop_
_atom_site_label
_atom_site_fract_x
_atom_site_fract_y
_atom_site_fract_z
Mn1 0.0107 0.9893 0.7500
Mn2 0.9893 0.0107 0.2500
Al1 0.1549 0.6793 0.4665
Al2 0.3207 0.8451 0.0335
Al3 0.6793 0.1549 0.9665
Al4 0.8451 0.3207 0.5335
Cl1 0.1087 0.1862 0.5095
Cl2 0.1214 0.7095 0.2800
Cl3 0.1556 0.7211 0.8318
Cl4 0.1862 0.1087 0.0096
Cl5 0.2789 0.8444 0.6682
Cl6 0.2905 0.8786 0.2200
Cl7 0.2945 0.4052 0.4449
Cl8 0.4052 0.2945 0.9449
Cl9 0.5948 0.7055 0.0551
Cl10 0.7055 0.5948 0.5551
Cl11 0.7095 0.1214 0.7800
Cl12 0.7211 0.1556 0.3318
Cl13 0.8138 0.8913 0.9904
Cl14 0.8444 0.2789 0.1682
Cl15 0.8786 0.2905 0.7200
Cl16 0.8913 0.8138 0.4904

Entry 10:
# Ce2HoCo, optimized geometry, DFT PBE-GGA
# Fermi-level density of states ... 1.963 states/eV/atom
# Magnetization ... 0.000 μB per atom
# VASP energy ... -6.02 eV per atom
# Mass density ... 8.7 g cm⁻³
# DFT formation energy ... -134 meV per atom
data_Ce2HoCo
_cell_length_a 3.5618
_cell_length_b 9.5372
_cell_length_c 5.9104
_cell_angle_alpha 90.00
_cell_angle_beta 107.46
_cell_angle_gamma 90.00
_space_group_name_H-M_alt 'P 1'
_space_group_IT_number 1
loop_
_space_group_symop_operation_xyz
'x,y,z'
loop_
_atom_site_label
_atom_site_fract_x
_atom_site_fract_y
_atom_site_fract_z
Ce1 0.1394 0.0630 0.2789
Ce2 0.1394 0.4370 0.2789
Ce3 0.8606 0.5630 0.7211
Ce4 0.8606 0.9370 0.7211
Ho1 0.4138 0.2500 0.8277
Ho2 0.5862 0.7500 0.1723
Co1 0.3040 0.7500 0.6083
Co2 0.6960 0.2500 0.3917

Entry 11:
# LaDy2Tm6, optimized geometry, DFT PBE-GGA
# Fermi-level density of states ... 1.745 states/eV/atom
# Magnetization ... 0.164 μB per atom
# VASP energy ... -4.49 eV per atom
# Mass density ... 8.6 g cm⁻³
# DFT formation energy ... 60 meV per atom
data_LaDy2Tm6
_cell_length_a 3.5612
_cell_length_b 3.5612
_cell_length_c 25.9680
_cell_angle_alpha 90.00
_cell_angle_beta 90.00
_cell_angle_gamma 120.00
_space_group_name_H-M_alt 'P 1'
_space_group_IT_number 1
loop_
_space_group_symop_operation_xyz
'x,y,z'
loop_
_atom_site_label
_atom_site_fract_x
_atom_site_fract_y
_atom_site_fract_z
La1 0.0000 0.0000 0.0000
Dy1 0.3333 0.6667 0.3293
Dy2 0.3333 0.6667 0.6707
Tm1 0.0000 0.0000 0.2207
Tm2 0.0000 0.0000 0.4359
Tm3 0.0000 0.0000 0.5641
Tm4 0.0000 0.0000 0.7793
Tm5 0.3333 0.6667 0.1151
Tm6 0.3333 0.6667 0.8849

Entry 12:
# Li3CaRh, optimized geometry, DFT PBE-GGA
# Fermi-level density of states ... 0.474 states/eV/atom
# Magnetization ... 0.000 μB per atom
# VASP energy ... -2.98 eV per atom
# Mass density ... 2.6 g cm⁻³
# DFT formation energy ... 41 meV per atom
data_Li3CaRh
_cell_length_a 4.7286
_cell_length_b 4.7286
_cell_length_c 4.7286
_cell_angle_alpha 90.00
_cell_angle_beta 90.00
_cell_angle_gamma 90.00
_space_group_name_H-M_alt 'P 1'
_space_group_IT_number 1
loop_
_space_group_symop_operation_xyz
'x,y,z'
loop_
_atom_site_label
_atom_site_fract_x
_atom_site_fract_y
_atom_site_fract_z
Li1 0.0000 0.0000 0.5000
Li2 0.0000 0.5000 0.0000
Li3 0.5000 0.0000 0.0000
Ca1 0.5000 0.5000 0.5000
Rh1 0.0000 0.0000 0.0000

Entry 13:
# LaPaCo, optimized geometry, DFT PBE-GGA
# Fermi-level density of states ... 1.397 states/eV/atom
# Magnetization ... 0.000 μB per atom
# VASP energy ... -7.42 eV per atom
# Mass density ... 9.7 g cm⁻³
# DFT formation energy ... -241 meV per atom
data_LaPaCo
_cell_length_a 6.2412
_cell_length_b 6.9369
_cell_length_c 6.8078
_cell_angle_alpha 90.00
_cell_angle_beta 90.00
_cell_angle_gamma 90.00
_space_group_name_H-M_alt 'P 1'
_space_group_IT_number 1
loop_
_space_group_symop_operation_xyz
'x,y,z'
loop_
_atom_site_label
_atom_site_fract_x
_atom_site_fract_y
_atom_site_fract_z
La1 0.1053 0.0900 0.2500
La2 0.1053 0.4100 0.7500
La3 0.8947 0.5900 0.2500
La4 0.8947 0.9100 0.7500
Pa1 0.4315 0.7500 0.0000
Pa2 0.4315 0.7500 0.5000
Pa3 0.5685 0.2500 0.0000
Pa4 0.5685 0.2500 0.5000
Co1 0.3700 0.0299 0.7500
Co2 0.3700 0.4701 0.2500
Co3 0.6300 0.5299 0.7500
Co4 0.6300 0.9701 0.2500

Entry 14:
# NaNiPt3, optimized geometry, DFT PBE-GGA
# Fermi-level density of states ... 2.520 states/eV/atom
# Magnetization ... 0.257 μB per atom
# VASP energy ... -3.35 eV per atom
# Mass density ... 11.6 g cm⁻³
# DFT formation energy ... 1694 meV per atom
data_NaNiPt3
_cell_length_a 4.5712
_cell_length_b 4.5712
_cell_length_c 4.5712
_cell_angle_alpha 90.00
_cell_angle_beta 90.00
_cell_angle_gamma 90.00
_space_group_name_H-M_alt 'P 1'
_space_group_IT_number 1
loop_
_space_group_symop_operation_xyz
'x,y,z'
loop_
_atom_site_label
_atom_site_fract_x
_atom_site_fract_y
_atom_site_fract_z
Na1 0.0000 0.0000 0.0000
Ni1 0.5000 0.5000 0.5000
Pt1 0.0000 0.0000 0.5000
Pt2 0.0000 0.5000 0.0000
Pt3 0.5000 0.0000 0.0000